#1
RbInCu3 | PBE | optimized geometry

Lattice parameters (Å, degrees): 5.5809 5.5809 5.5809 90.00 90.00 90.00
With the nearest neighbours (Å) after each atom.
Space group Pm-3m (No. 221)
Symmetry-distinct sites (fractional):
Rb1 0.0000 0.0000 0.0000 [1 per cell]  6 Cu 2.79
In1 0.5000 0.5000 0.5000 [1 per cell]  12 Cu 3.95
Cu1 0.0000 0.0000 0.5000 [3 per cell]  2 Rb 2.79

Properties
The calculation puts the density of states at the Fermi level at 1.23 states/eV/atom.

=====

#2
RbInCu3 | PBE | optimized geometry

Lattice parameters (Å, degrees): 5.1002 5.1002 5.1002 90.00 90.00 90.00
With the nearest neighbours (Å) after each atom.
Space group Pm-3m (No. 221)
Symmetry-distinct sites (fractional):
Rb1 0.0000 0.0000 0.0000 [1 per cell]  12 Cu 3.61
In1 0.5000 0.5000 0.5000 [1 per cell]  6 Cu 2.55
Cu1 0.0000 0.5000 0.5000 [3 per cell]  2 In 2.55

Properties
The calculation puts the density of states at the Fermi level at 0.37 states/eV/atom.

=====

Least stable: #1

=====

#1
RbIn2Cu2 | PBE | optimized geometry

Lattice parameters (Å, degrees): 4.9086 4.9086 10.9101 90.00 90.00 90.00
With the nearest neighbours (Å) after each atom.
Space group I4/mmm (No. 139)
Symmetry-distinct sites (fractional):
Rb1 0.0000 0.0000 0.0000 [2 per cell]  8 Cu 3.67, 10 In 3.80-3.85
In1 0.0000 0.0000 0.3482 [4 per cell]  4 Cu 2.68
Cu1 0.0000 0.5000 0.2500 [4 per cell]  4 In 2.68

Properties
The calculation puts the density of states at the Fermi level at 0.33 states/eV/atom.

=====

#2
RbIn2Cu2 | PBE | optimized geometry

Lattice parameters (Å, degrees): 8.7430 8.7430 2.9449 90.00 90.00 90.00
With the nearest neighbours (Å) after each atom.
Space group P4/mbm (No. 127)
Symmetry-distinct sites (fractional):
Rb1 0.0000 0.0000 0.0000 [2 per cell]  2 Rb 2.94
In1 0.1354 0.3646 0.5000 [4 per cell]  6 Cu 2.89-3.05, 2 In 2.94
Cu1 0.1490 0.6490 0.0000 [4 per cell]  6 In 2.89-3.05, 2 Cu 2.94

Properties
The calculation puts the density of states at the Fermi level at 0.33 states/eV/atom.

=====

Least stable: #2

=====

#1
In2CuRe | PBE | optimized geometry

Lattice parameters (Å, degrees): 6.0317 7.3458 3.1567 90.00 90.00 90.00
With the nearest neighbours (Å) after each atom.
Space group Cmmm (No. 65)
Symmetry-distinct sites (fractional):
In1 0.2500 0.2500 0.0000 [4 per cell]  4 Re 2.85, 4 Cu 2.85, 4 In 3.02-3.16
Cu1 0.0000 0.0000 0.5000 [2 per cell]  8 In 2.85, 2 Re 3.02, 2 Cu 3.16
Re1 0.0000 0.5000 0.5000 [2 per cell]  8 In 2.85, 2 Cu 3.02, 2 Re 3.16

Properties
The calculation puts the density of states at the Fermi level at 0.65 states/eV/atom.

=====

#2
In2CuRe | PBE | optimized geometry

Lattice parameters (Å, degrees): 6.5590 6.5590 6.5590 90.00 90.00 90.00
With the nearest neighbours (Å) after each atom.
Space group Fm-3m (No. 225)
Symmetry-distinct sites (fractional):
In1 0.2500 0.2500 0.2500 [8 per cell]  4 Re 2.84, 4 Cu 2.84
Cu1 0.0000 0.0000 0.0000 [4 per cell]  8 In 2.84
Re1 0.0000 0.0000 0.5000 [4 per cell]  8 In 2.84

Properties
The calculation puts the density of states at the Fermi level at 0.50 states/eV/atom.

=====

#3
In2CuRe | PBE | optimized geometry

Lattice parameters (Å, degrees): 3.1633 5.1067 8.9318 90.00 90.00 90.00
With the nearest neighbours (Å) after each atom.
Space group Cmmm (No. 65)
Symmetry-distinct sites (fractional):
In1 0.0000 0.0000 0.2440 [4 per cell]  2 Cu 2.69, 2 Re 2.78, 4 In 3.00
Cu1 0.0000 0.5000 0.0000 [2 per cell]  4 In 2.69, 4 Cu 3.00
Re1 0.0000 0.5000 0.5000 [2 per cell]  4 In 2.78, 4 Re 3.00

Properties
The calculation puts the density of states at the Fermi level at 0.58 states/eV/atom.

=====

#4
In2CuRe | PBE | optimized geometry

Lattice parameters (Å, degrees): 2.9180 4.0692 5.9254 90.00 90.33 90.00
With the nearest neighbours (Å) after each atom.
Space group P2/m (No. 10)
Symmetry-distinct sites (fractional):
In1 0.0020 0.0000 0.2509 [2 per cell]  4 Cu 2.90-2.91, 4 Re 2.91, 4 In 2.92-2.97
Cu1 0.5000 0.5000 0.5000 [1 per cell]  8 In 2.90-2.91, 2 Cu 2.92, 2 Re 2.96
Re1 0.5000 0.5000 0.0000 [1 per cell]  8 In 2.91, 2 Re 2.92, 2 Cu 2.96

Properties
The calculation puts the density of states at the Fermi level at 0.68 states/eV/atom.

=====

Least stable: #2

=====

#1
In2CuRe | PBE | optimized geometry

Lattice parameters (Å, degrees): 3.0323 3.0323 27.5075 90.00 90.00 120.00
With the nearest neighbours (Å) after each atom.
Space group R3m (No. 160, hexagonal axes)
Symmetry-distinct sites (fractional):
In1 0.0000 0.0000 0.0000 [3 per cell]  3 Re 2.90, 9 In 3.03-3.23
In2 0.0000 0.0000 0.2345 [3 per cell]  3 Cu 2.80, 6 In 3.03
Cu1 0.0000 0.0000 0.4882 [3 per cell]  3 Re 2.62, 3 In 2.80
Re1 0.0000 0.0000 0.7506 [3 per cell]  3 Cu 2.62, 3 In 2.90

Properties
The calculation puts the density of states at the Fermi level at 0.88 states/eV/atom.

=====

#2
In2CuRe | PBE | optimized geometry

Lattice parameters (Å, degrees): 3.9075 3.9075 9.1777 90.00 90.00 90.00
With the nearest neighbours (Å) after each atom.
Space group I-4m2 (No. 119)
Symmetry-distinct sites (fractional):
In1 0.0000 0.0000 0.0000 [2 per cell]  4 Cu 2.76, 4 In 3.01, 4 Re 3.01
In2 0.0000 0.5000 0.2500 [2 per cell]  4 Re 2.76, 4 In 3.01, 4 Cu 3.01
Cu1 0.0000 0.0000 0.5000 [2 per cell]  8 In 2.76-3.01, 4 Re 3.01
Re1 0.0000 0.5000 0.7500 [2 per cell]  8 In 2.76-3.01, 4 Cu 3.01

Properties
The calculation puts the density of states at the Fermi level at 0.71 states/eV/atom.

=====

#3
In2CuRe | PBE | optimized geometry

Lattice parameters (Å, degrees): 3.5335 3.5335 5.7857 90.00 90.00 90.00
With the nearest neighbours (Å) after each atom.
Space group P4mm (No. 99)
Symmetry-distinct sites (fractional):
In1 0.0000 0.0000 0.0000 [1 per cell]  2 Re 2.74-3.04, 4 Cu 2.84
In2 0.5000 0.5000 0.3114 [1 per cell]  1 Cu 2.64, 4 Re 2.79
Cu1 0.5000 0.5000 0.7679 [1 per cell]  5 In 2.64-2.84, 4 Re 2.86
Re1 0.0000 0.0000 0.5263 [1 per cell]  6 In 2.74-3.04, 4 Cu 2.86

Properties
The calculation puts the density of states at the Fermi level at 0.99 states/eV/atom.

=====

#4
In2CuRe | PBE | optimized geometry

Lattice parameters (Å, degrees): 6.5666 6.5666 6.5666 90.00 90.00 90.00
With the nearest neighbours (Å) after each atom.
Space group F-43m (No. 216)
Symmetry-distinct sites (fractional):
In1 0.0000 0.0000 0.0000 [4 per cell]  4 In 2.84, 4 Re 2.84
In2 0.2500 0.2500 0.2500 [4 per cell]  4 In 2.84, 4 Cu 2.84
Cu1 0.0000 0.0000 0.5000 [4 per cell]  4 In 2.84, 4 Re 2.84
Re1 0.2500 0.2500 0.7500 [4 per cell]  4 In 2.84, 4 Cu 2.84

Properties
The calculation puts the density of states at the Fermi level at 0.56 states/eV/atom.

=====

Least stable: #4

=====

#1
InCuRe | PBE | optimized geometry

Lattice parameters (Å, degrees): 4.4894 4.4894 2.7493 90.00 90.00 120.00
With the nearest neighbours (Å) after each atom.
Space group P-6m2 (No. 187)
Symmetry-distinct sites (fractional):
In1 0.0000 0.0000 0.0000 [1 per cell]  3 Cu 2.59, 2 In 2.75
Cu1 0.3333 0.6667 0.0000 [1 per cell]  3 In 2.59, 2 Cu 2.75
Re1 0.6667 0.3333 0.5000 [1 per cell]  2 Re 2.75, 6 In 2.93, 6 Cu 2.93

Properties
The calculation puts the density of states at the Fermi level at 0.71 states/eV/atom.

=====

#2
InCuRe | PBE | optimized geometry

Lattice parameters (Å, degrees): 2.8824 2.8824 6.7778 90.00 90.00 120.00
With the nearest neighbours (Å) after each atom.
Space group P3m1 (No. 156)
Symmetry-distinct sites (fractional):
In1 0.0000 0.0000 0.0000 [1 per cell]  3 Cu 2.82, 6 In 2.88, 3 Re 2.95
Cu1 0.3333 0.6667 0.6635 [1 per cell]  3 Re 2.65, 3 In 2.82, 6 Cu 2.88
Re1 0.6667 0.3333 0.3592 [1 per cell]  3 Cu 2.65, 6 Re 2.88, 3 In 2.95

Properties
The calculation puts the density of states at the Fermi level at 0.90 states/eV/atom.

=====

#3
InCuRe | PBE | optimized geometry

Lattice parameters (Å, degrees): 3.2097 4.5561 13.3960 90.00 90.00 90.00
With the nearest neighbours (Å) after each atom.
Space group Fmm2 (No. 42)
Symmetry-distinct sites (fractional):
In1 0.0000 0.0000 0.0000 [4 per cell]  2 Cu 2.77, 4 In 2.79, 2 Re 2.88
Cu1 0.0000 0.0000 0.3314 [4 per cell]  2 Re 2.61, 2 In 2.77, 4 Cu 2.79
Re1 0.0000 0.0000 0.6782 [4 per cell]  2 Cu 2.61, 4 Re 2.79, 2 In 2.88

Properties
The calculation puts the density of states at the Fermi level at 0.72 states/eV/atom.

=====

Least stable: #3

=====

#1
InCuRe | PBE | optimized geometry

Lattice parameters (Å, degrees): 2.8239 2.8239 12.1578 90.00 90.00 90.00
With the nearest neighbours (Å) after each atom.
Space group I4mm (No. 107)
Symmetry-distinct sites (fractional):
In1 0.0000 0.0000 0.0000 [2 per cell]  4 In 2.82, 4 Cu 2.89, 4 Re 2.98
Cu1 0.0000 0.0000 0.3277 [2 per cell]  4 Re 2.67, 4 Cu 2.82, 4 In 2.89
Re1 0.0000 0.0000 0.6814 [2 per cell]  4 Cu 2.67, 4 Re 2.82, 4 In 2.98

Properties
The calculation puts the density of states at the Fermi level at 1.31 states/eV/atom.

=====

#2
InCuRe | PBE | optimized geometry

Lattice parameters (Å, degrees): 6.0092 6.0092 6.0092 90.00 90.00 90.00
With the nearest neighbours (Å) after each atom.
Space group F-43m (No. 216)
Symmetry-distinct sites (fractional):
In1 0.0000 0.0000 0.0000 [4 per cell]  4 Cu 2.60
Cu1 0.2500 0.2500 0.2500 [4 per cell]  4 In 2.60, 4 Re 2.60
Re1 0.0000 0.0000 0.5000 [4 per cell]  4 Cu 2.60

Properties
The calculation puts the density of states at the Fermi level at 0.75 states/eV/atom.

=====

Least stable: #2